(1)
SmTm3Bi4: optimized geometry, PBE.

Summary:
* DFT formation energy: -814 meV/atom

Geometry as POSCAR:
```
SmTm3Bi4
1.0
8.927 0.000 0.000
0.000 12.629 0.000
0.000 0.000 4.470
Sm Tm Bi
2 6 8
Cartesian
0.000 0.000 0.000 Sm
4.463 6.314 0.000 Sm
0.000 6.314 0.000 Tm
2.232 3.157 2.235 Tm
2.232 9.472 2.235 Tm
4.463 0.000 0.000 Tm
6.695 3.157 2.235 Tm
6.695 9.472 2.235 Tm
0.000 3.195 0.000 Bi
0.000 9.434 0.000 Bi
2.179 6.314 2.235 Bi
2.285 0.000 2.235 Bi
4.463 3.119 0.000 Bi
4.463 9.509 0.000 Bi
6.642 0.000 2.235 Bi
6.748 6.314 2.235 Bi
```

(2)
Sm2Tm2Bi3: optimized geometry, PBE.

Summary:
* DFT formation energy: -580 meV/atom

Geometry as POSCAR:
```
Sm2Tm2Bi3
1.0
14.228 0.000 0.000
0.000 4.522 0.000
-1.165 0.000 7.357
Sm Tm Bi
4 4 6
Cartesian
1.341 0.000 2.575 Sm
4.608 2.261 4.782 Sm
8.455 2.261 2.575 Sm
11.723 0.000 4.782 Sm
0.612 2.261 6.531 Tm
5.337 0.000 0.827 Tm
7.727 0.000 6.531 Tm
12.451 2.261 0.827 Tm
-0.582 2.261 3.679 Bi
2.480 0.000 5.565 Bi
3.469 2.261 1.792 Bi
6.532 0.000 3.679 Bi
9.595 2.261 5.565 Bi
10.583 0.000 1.792 Bi
```

Question: Which formula does entry 1 have?
Answer: SmTm3Bi4

Question: Which of these has the lowest DFT formation energy?
Answer: SmTm3Bi4

Question: Which value of DFT formation energy does entry 1 give?
Answer: -814 meV/atom